This record from Alexandria describes an optimized crystal structure of Tb2Y7Sc2. The functional is PBE.

Results
- E_form: 9.5 kJ per mole of atoms
- N(E_F): 41.9 states/eV/cell

Lattice parameters (Å, degrees): 8.9557 9.4689 8.4612 90.00 105.30 90.00
Space group C2/m (No. 12)
Symmetry-distinct sites (fractional):
1 Tb 0.0000 0.1800 0.0000
2 Y 0.0000 0.5000 0.5000
3 Y 0.1582 0.5000 0.9171
4 Y 0.2140 0.1837 0.6893
5 Sc 0.1142 0.0000 0.3415